No. 1
Computed, not measured: an optimized crystal structure of Pm3Pr2Tm3 at the PBE level of DFT.

Cell and atoms, written as POSCAR:
```
Pm3Pr2Tm3
1.0
5.6311 0.0000 0.0000
-2.8156 5.9934 0.0000
0.0000 0.0000 16.0023
Tm Pm Pr
6 6 4
Cartesian
0.0000 4.5850 8.8031
2.8156 1.4084 7.1992
0.0000 5.4919 4.0006
2.8156 0.5014 12.0018
0.0000 4.5850 15.2004
2.8156 1.4084 0.8020
2.8156 2.7889 4.0006
0.0000 0.9221 9.5148
2.8156 5.0712 6.4876
2.8156 5.0712 1.5136
0.0000 0.9221 14.4888
0.0000 3.2045 12.0018
2.8156 3.3748 13.9729
0.0000 2.6185 2.0295
2.8156 3.3748 10.0307
0.0000 2.6185 5.9717
```

Results
As for the volume: 540 Å³ per cell. The space-group type is Cmcm (63). As for the calculated formation energy: 1.057 eV per formula unit. The total magnetic moment comes out at 0.00 μB/f.u. The calculated total energy comes out at -4.521 eV per atom.

No. 2
Computed, not measured: an optimized crystal structure of Pm4Pr3Tm2 at the PBE level of DFT.

Cell and atoms, written as POSCAR:
```
Pm4Pr3Tm2
1.0
-4.3605 -2.3411 -1.4155
3.4810 -7.2235 1.2233
-1.1728 3.4379 7.2870
Pm Pr Tm
4 3 2
Cartesian
-1.7123 -4.7518 3.7736
-0.3400 -1.3749 3.3213
-0.6506 -2.8175 6.6640
-1.4017 -3.3091 0.4308
1.5729 -4.3155 2.2918
-3.6253 -1.8111 4.8030
0.0000 0.0000 0.0000
-2.2247 1.5035 4.3666
0.1724 -7.6302 2.7282
```

Results
As for the volume: 306 Å³ per cell. The space-group type is C2/m (12). As for the calculated formation energy: 0.185 eV per formula unit. The total magnetic moment comes out at 0.00 μB/f.u. The calculated total energy comes out at -4.678 eV per atom.

No. 3
Computed, not measured: an optimized crystal structure of Pm3Pr12Tm at the PBE level of DFT.

Cell and atoms, written as POSCAR:
```
Pm3Pr12Tm
1.0
5.2150 0.0000 0.0000
0.0000 5.2150 0.0000
0.0000 0.0000 20.8376
Pr Pm Tm
12 3 1
Cartesian
2.6075 0.0000 18.2716
2.6075 0.0000 13.0348
2.6075 0.0000 7.8028
0.0000 2.6075 18.2716
2.6075 0.0000 2.5659
0.0000 2.6075 2.5659
2.6075 2.6075 15.6596
2.6075 2.6075 5.1780
0.0000 2.6075 13.0348
2.6075 2.6075 10.4188
2.6075 2.6075 0.0000
0.0000 2.6075 7.8028
0.0000 0.0000 5.1818
0.0000 0.0000 10.4188
0.0000 0.0000 15.6557
0.0000 0.0000 0.0000
```

Results
As for the volume: 567 Å³ per cell. The space-group type is P4/mmm (123). As for the calculated formation energy: 0.187 eV per formula unit. The total magnetic moment comes out at 0.00 μB/f.u. The calculated total energy comes out at -4.743 eV per atom.